{
  "formula": "La2PRu",
  "functional": "PBE",
  "state": "relaxed",
  "formation_enthalpy_0k_ev_per_fu": -0.92,
  "space_group": "No. 216",
  "dos_at_fermi_per_ev_cell": 2.6,
  "energy_ev_per_atom": -6.365,
  "cell": [[4.114, 1.791, 2.042], [-0.026, 4.467, 2.084], [0.331, 0.436, 4.899]],
  "species": ["P", "La", "La", "Ru"],
  "frac_coords": [[0.500, 0.500, 0.500], [0.000, 0.000, 0.000], [0.250, 0.250, 0.250], [0.750, 0.750, 0.750]]
}